AuCSe2N: relaxed, PBE-GGA.

Cell: 6.0216 6.0216 2.5085 Å, 90.00 90.00 90.00°
Sites, in units of the cell vectors:
1 Au 0.0000 0.0000 0.0000
2 C 0.5000 0.5000 0.5000
3 Se 0.0000 0.5000 0.5000
4 Se 0.5000 0.0000 0.5000
5 N 0.5000 0.5000 0.0000

Results
Theoretical density = 7.0 Mg/m³
ΔE to the lowest computed polymorph = 0 meV/atom
Calculated total energy = -24.12 eV/cell
Formation energy without anion corrections = 734 meV per atom
SG = P4/mmm, No. 123